{
  "formula": "LiThNi",
  "functional": "GGA-PBE",
  "state": "optimized geometry",
  "lattice_angstrom": [[4.0345, -1.9345, 0.3957], [0.5526, -4.3015, -1.1697], [2.3612, -1.0422, -3.6762]],
  "species": ["Li", "Ni", "Th"],
  "frac_coords": [[0.2500, 0.2500, 0.2500], [0.0000, 0.0000, 0.0000], [0.7500, 0.7500, 0.7500]],
  "spacegroup": "F-43m (216)",
  "de_polymorph_mev_per_atom": 0
}


{
  "formula": "LiYTlNi",
  "functional": "GGA-PBE",
  "state": "optimized geometry",
  "lattice_angstrom": [[0.0000, 3.3243, 3.3243], [3.3243, 0.0000, 3.3243], [3.3243, 3.3243, 0.0000]],
  "species": ["Li", "Ni", "Tl", "Y"],
  "frac_coords": [[0.2500, 0.2500, 0.2500], [0.7500, 0.7500, 0.7500], [0.0000, 0.0000, 0.0000], [0.5000, 0.5000, 0.5000]],
  "e_tot_ev_per_fu": -17.370,
  "spacegroup": "F-43m (216)"
}


{
  "formula": "LiZrTlNi",
  "functional": "GGA-PBE",
  "state": "optimized geometry",
  "lattice_angstrom": [[0.0000, 3.2644, 3.2644], [3.2644, 0.0000, 3.2644], [3.2644, 3.2644, 0.0000]],
  "species": ["Li", "Ni", "Tl", "Zr"],
  "frac_coords": [[0.7500, 0.7500, 0.7500], [0.5000, 0.5000, 0.5000], [0.2500, 0.2500, 0.2500], [0.0000, 0.0000, 0.0000]],
  "spacegroup": "F-43m (216)",
  "de_polymorph_mev_per_atom": 329
}